Here is an optimized crystal structure of Er12Hf5Zr3 from Alexandria. Energies are from PBE.

Values from the calculation:
The density of states at the Fermi level comes out at 272.7 states/eV per cell. As for the density: 7.671 g cm⁻³. As for the size of the total moment: 0.17 μB/atom. For the calculated volume, the calculation gives 5495 Å³/cell. The formation energy is 26.89 eV per formula unit.

```
data_Er12Hf5Zr3
_chemical_formula_sum 'Er96 Hf40 Zr24'
_symmetry_space_group_name_H-M 'I a -3 d'
_symmetry_Int_Tables_number 230
_symmetry_space_group_name_Hall '-I 4bd 2c 3'
_cell_length_a 17.647
_cell_length_b 17.647
_cell_length_c 17.647
_cell_angle_alpha 90.00
_cell_angle_beta 90.00
_cell_angle_gamma 90.00
loop_
_atom_site_label
_atom_site_type_symbol
_atom_site_fract_x
_atom_site_fract_y
_atom_site_fract_z
Er1 Er 0.017 0.083 0.647
Hf1 Hf 0.000 0.000 0.000
Hf2 Hf 0.000 0.250 0.375
Zr1 Zr 0.000 0.250 0.125
```